Entry 1:
The following is a GGA-PBE calculation of a relaxed RbMg2Zn2 crystal, from the Alexandria database.

## Properties
Energy of formation from the pure elements: 99 meV per atom
Uncorrected energy: -1.242 eV/atom
Space group: I4/mmm (139)
Relative energy among the computed polymorphs: 0.00 eV/f.u.
Size of the total moment: 0.000 μB/cell

a = 4.8198 Å, b = 4.8198 Å, c = 6.8604 Å
α = 69.43°, β = 69.43°, γ = 90.00°
Sites, in units of the cell vectors:
Rb 0.0000 0.0000 0.0000
Mg 0.7500 0.2500 0.5000
Mg 0.2500 0.7500 0.5000
Zn 0.3872 0.3872 0.2256
Zn 0.6128 0.6128 0.7744



Entry 2:
The following is a GGA-PBE calculation of a relaxed Nd2Sm3Al3 crystal, from the Alexandria database.

## Properties
Energy of formation from the pure elements: -246 meV per atom
Uncorrected energy: -4.611 eV/atom
Space group: Pmmm (47)
Relative energy among the computed polymorphs: 0.12 eV/f.u.
Size of the total moment: 0.004 μB/cell

a = 4.9014 Å, b = 4.9058 Å, c = 9.0561 Å
α = 90.00°, β = 90.00°, γ = 90.00°
Sites, in units of the cell vectors:
Nd 0.0000 0.0000 0.7291
Nd 0.0000 0.0000 0.2709
Sm 0.5000 0.5000 0.7237
Sm 0.5000 0.0000 0.0000
Sm 0.5000 0.5000 0.2763
Al 0.0000 0.5000 0.5000
Al 0.0000 0.5000 0.0000
Al 0.5000 0.0000 0.5000